A geometry-optimized Sr2Zn2Rh3 structure, computed with PBE-GGA.

Computed properties:
Calculated formation energy = -276 meV/atom

Lattice parameters (Å, degrees): 4.3737 5.7859 6.9820 116.90 90.00 112.21
Last column: nearest neighbours and their distance in Å.
Sites, in units of the cell vectors:
1 Rh 0.5919 0.1839 0.4304  2 Rh 2.59-2.67, 3 Zn 2.64-2.70
2 Rh 0.4081 0.8161 0.5696  2 Rh 2.59-2.67, 3 Zn 2.64-2.70
3 Rh 0.5000 0.0000 0.0000  2 Rh 2.67, 4 Zn 2.73
4 Sr 0.8368 0.6736 0.2303  5 Rh 3.03-3.24, 3 Zn 3.07-3.17
5 Sr 0.1632 0.3264 0.7697  5 Rh 3.03-3.24, 3 Zn 3.07-3.17
6 Zn 0.8699 0.7398 0.7466  5 Rh 2.64-2.73
7 Zn 0.1301 0.2602 0.2534  5 Rh 2.64-2.73